DFT (GGA-PBE) results for Sr2MgB after structural relaxation.

Cell lengths 7.628, 7.628, 7.628 Å; angles 90.00, 90.00, 90.00 degrees
Space group Fm-3m (No. 225)
Unique sites:
Sr: 0.250 0.250 0.250
Mg: 0.000 0.000 0.000
B: 0.000 0.000 0.500

Summary:
M_tot   0.0000 μB/atom
D(E_F)   1.26 states/eV/atom
VASP energy   -0.1704 Ry/atom
Volume   443.85 Å³/cell